The following is a PBE+U calculation of a relaxed structure of Ti2TlWO, from Alexandria via LeMat-Bulk.

abc: 5.144 3.833 5.144
angles: 90.00 90.00 90.00
Element x y z (fractional)
Ti1 0.000 0.000 0.500
Ti2 0.500 0.000 0.000
W1 0.000 0.000 0.000
O1 0.000 0.500 0.000
Tl1 0.500 0.500 0.500

Values from the calculation:
SG	P4/mmm, No. 123
ρ	8.19	g/cm³
M_tot	0.0	μB/f.u.
E_tot	-28.433	eV for the cell shown